No. 1
15
Lattice="3.652 0.000 0.000 -1.826 3.163 0.000 0.000 0.000 15.957" Properties=species:S:1:pos:R:3 comment="LiCaH3 | Alexandria via LeMat-Bulk | PBE | relaxed" space_group="R3m, No. 160" energy_ry_per_atom=-0.2369 pbc="T T T"
H 0.000 0.000 10.200
H 1.826 1.054 11.805
H 0.000 0.000 13.802
H 0.000 2.108 1.166
H 1.826 1.054 15.519
H 0.000 0.000 6.485
H 0.000 2.108 4.881
H 0.000 2.108 8.483
H 1.826 1.054 3.164
Ca 1.826 1.054 5.592
Ca 0.000 2.108 10.911
Ca 0.000 0.000 0.272
Li 0.000 0.000 8.351
Li 1.826 1.054 13.670
Li 0.000 2.108 3.032

No. 2
10
Lattice="-0.165 2.110 3.498 1.963 -4.286 5.068 8.513 4.203 0.256" Properties=species:S:1:pos:R:3 comment="Dy2Sb2O | Alexandria via LeMat-Bulk | PBE | relaxed" space_group="C2/m, No. 12" formation_energy_uncorrected_mev_per_atom=-1747 pbc="T T T"
Dy 8.460 1.090 6.910
Dy 4.973 0.143 7.317
Dy 5.338 1.884 1.505
Dy 1.851 0.937 1.911
O 5.132 3.867 2.688
O 5.179 -1.841 6.134
Sb 6.618 1.167 4.387
Sb 8.224 5.048 4.512
Sb 3.693 0.859 4.435
Sb 2.086 -3.021 4.310

No. 3
4
Lattice="5.073 0.000 0.000 2.537 4.394 0.000 2.537 1.465 4.142" Properties=species:S:1:pos:R:3 comment="CePaAlZn | Alexandria via LeMat-Bulk | PBE | relaxed" space_group="F-43m, No. 216" ef_mev_per_atom=-19 pbc="T T T"
Pa 7.610 4.394 3.107
Zn 0.000 0.000 0.000
Al 5.073 2.929 2.071
Ce 2.537 1.465 1.036

No. 4
4
Lattice="0.000 3.075 3.075 3.075 0.000 3.075 3.075 3.075 0.000" Properties=species:S:1:pos:R:3 comment="CdSF2 | Alexandria via LeMat-Bulk | PBE | relaxed" space_group="Fm-3m, No. 225" formation_energy_uncorrected_mev_per_atom=-618 polymorph_energy_mev_per_atom=354 pbc="T T T"
S 0.000 0.000 0.000
F 1.538 1.538 1.538
F 4.613 4.613 4.613
Cd 3.075 3.075 3.075

No. 5
5
Lattice="5.756 0.000 0.000 0.000 5.756 0.000 0.000 0.000 5.922" Properties=species:S:1:pos:R:3 comment="LaInSe2Br | Alexandria via LeMat-Bulk | PBE | relaxed" space_group="P4/mmm, No. 123" formation_energy_uncorrected_mev_per_atom=-927 polymorph_energy_mev_per_atom=0 pbc="T T T"
In 2.878 2.878 2.961
Br 0.000 0.000 2.961
Se 0.000 2.878 0.000
Se 2.878 0.000 0.000
La 0.000 0.000 0.000

No. 6
5
Lattice="4.753 0.000 0.000 0.000 6.364 0.000 0.000 0.000 4.753" Properties=species:S:1:pos:R:3 comment="RbMo2OsS | Alexandria via LeMat-Bulk | PBE | relaxed" space_group="P4/mmm, No. 123" formation_energy_uncorrected_mev_per_atom=1663 pbc="T T T"
Mo 0.000 0.000 2.376
Mo 2.376 0.000 0.000
Rb 0.000 3.182 0.000
Os 0.000 0.000 0.000
S 2.376 3.182 2.376

No. 7
8
Lattice="3.843 0.000 0.000 0.000 3.843 0.000 0.000 0.000 7.719" Properties=species:S:1:pos:R:3 comment="GaReRh6 | Alexandria via LeMat-Bulk | PBE | relaxed" space_group="P4/mmm, No. 123" ef_mev_per_atom=-243 pbc="T T T"
Rh 1.921 0.000 5.740
Rh 1.921 0.000 1.979
Rh 1.921 1.921 0.000
Rh 1.921 1.921 3.859
Rh 0.000 1.921 1.979
Rh 0.000 1.921 5.740
Ga 0.000 0.000 0.000
Re 0.000 0.000 3.859

No. 8
80
Lattice="13.110 0.000 0.000 -4.370 12.360 0.000 -4.370 -6.180 10.704" Properties=species:S:1:pos:R:3 comment="Y12H5Os3 | Alexandria via LeMat-Bulk | PBE | relaxed" space_group="Ia-3d, No. 230" energy_ry_per_atom=-0.4914 pbc="T T T"
H 3.277 9.270 2.676
H -3.277 6.952 4.014
H 3.277 2.317 1.338
H 7.647 -0.772 6.690
H 0.000 0.000 0.000
H -2.185 -3.090 5.352
H 2.185 3.090 5.352
H -2.185 6.180 0.000
H 5.462 5.407 4.014
H 6.555 0.000 0.000
H -4.370 3.090 5.352
H 1.092 3.862 9.366
H 1.092 -3.090 8.028
H -1.092 10.042 1.338
H -1.092 3.090 2.676
H 5.462 -3.862 9.366
H -1.092 0.772 6.690
H 4.370 6.180 0.000
H 4.370 -3.090 5.352
H 5.462 3.090 8.028
Os 9.832 0.000 2.676
Os 5.462 0.772 4.014
Os -5.462 6.180 8.028
Os 3.277 0.000 8.028
Os 7.647 8.497 1.338
Os 1.092 -0.772 4.014
Os -3.277 -2.317 9.366
Os 3.277 6.952 6.690
Os -1.092 5.407 6.690
Os 1.092 6.180 2.676
Os -3.277 2.317 9.366
Os 7.647 3.862 1.338
Y -2.184 -4.828 10.387
Y -0.001 4.041 4.339
Y 1.625 1.749 9.700
Y 6.554 11.008 0.317
Y 2.184 -2.139 6.364
Y 2.745 4.431 1.004
Y 3.824 -1.560 3.336
Y -0.560 7.929 1.004
Y -0.560 4.436 1.012
Y -4.369 8.868 4.022
Y -5.477 3.278 7.685
Y 3.292 5.205 4.348
Y -3.263 10.433 1.330
Y 8.739 -2.688 6.681
Y -1.078 -3.278 7.685
Y -4.930 -0.005 8.688
Y 4.930 -1.749 9.700
Y -1.107 7.155 4.348
Y 2.745 7.923 1.012
Y -1.625 0.005 8.688
Y 4.916 5.199 8.371
Y 1.625 -1.744 9.691
Y -2.731 7.161 8.371
Y 5.448 9.458 3.019
Y 8.193 0.579 5.035
Y -1.639 -0.579 5.035
Y -3.824 5.601 5.669
Y 7.633 -4.253 9.374
Y 2.185 8.319 4.339
Y 0.546 7.740 7.368
Y 6.008 6.759 5.669
Y 4.930 1.744 9.691
Y 1.078 0.975 6.356
Y 5.995 6.175 2.016
Y 8.740 1.352 0.317
Y -4.370 4.828 10.387
Y -1.078 4.253 9.374
Y 5.448 1.927 1.330
Y 9.300 6.185 2.016
Y 9.847 2.902 3.019
Y 4.370 2.139 6.364
Y 1.639 4.620 7.368
Y 6.554 3.491 4.022
Y -0.546 0.981 2.333
Y 5.477 -0.975 6.356
Y 7.101 -0.981 2.333
Y -2.184 2.688 6.681
Y 2.731 1.560 3.336

No. 9
8
Lattice="9.018 0.000 0.000 0.000 9.018 0.000 4.509 4.509 3.079" Properties=species:S:1:pos:R:3 comment="Ca2ZrTe | Alexandria via LeMat-Bulk | PBE | relaxed" space_group="I-42d, No. 122" formation_energy_uncorrected_mev_per_atom=-1 pbc="T T T"
Te 9.018 4.509 1.540
Te 0.000 0.000 0.000
Zr 4.509 4.509 0.000
Zr 4.509 9.018 1.540
Ca 7.117 2.254 0.770
Ca 1.901 6.763 0.770
Ca 11.272 11.626 2.310
Ca 6.763 6.410 2.310

No. 10
8
Lattice="-4.322 -2.580 2.638 2.176 -5.063 -1.388 4.075 -3.900 8.983" Properties=species:S:1:pos:R:3 comment="RbLi2Cd | Alexandria via LeMat-Bulk | PBE | relaxed" space_group="I-42d, No. 122" ef_mev_per_atom=123 pbc="T T T"
Li -2.468 -3.852 4.367
Li -0.465 -5.788 8.880
Li 1.720 -4.553 7.545
Li -1.426 -6.411 3.701
Rb -1.073 -3.822 0.625
Rb 2.589 -6.392 4.110
Cd -0.660 -5.151 6.123
Cd 0.000 0.000 0.000

No. 11
11
Lattice="-0.014 7.738 -3.755 -6.657 -1.076 -2.193 1.213 3.052 6.284" Properties=species:S:1:pos:R:3 comment="NdY7Er3 | Alexandria via LeMat-Bulk | PBE | relaxed" space_group="P3m1, No. 156" ef_mev_per_atom=204 polymorph_energy_mev_per_atom=60 pbc="T T T"
Nd -1.416 5.144 1.776
Y -5.342 3.106 -2.463
Y -0.110 3.248 4.429
Y -0.712 1.734 1.311
Y -3.413 2.714 3.341
Y -2.037 3.640 -1.375
Y -4.035 1.206 0.193
Y -4.740 4.621 0.657
Er -2.736 7.054 -0.902
Er -3.341 5.531 -4.037
Er -6.056 6.517 -1.996

No. 12
4
Lattice="-1.229 -5.285 7.043 0.294 -7.412 4.901 2.142 -5.313 6.800" Properties=species:S:1:pos:R:3 comment="InPS2 | Alexandria via LeMat-Bulk | PBE | relaxed" space_group="R-3m, No. 166" formation_energy_uncorrected_mev_per_atom=1 polymorph_energy_mev_per_atom=0 pbc="T T T"
S 1.070 -15.963 16.613
S 0.137 -2.047 2.131
P 0.603 -9.005 9.372
In 0.000 0.000 0.000

No. 13
4
Lattice="-4.743 0.107 -1.190 -3.907 -2.498 -1.554 -1.908 -1.216 4.325" Properties=species:S:1:pos:R:3 comment="Mo2RuW | Alexandria via LeMat-Bulk | PBE | relaxed" space_group="Cm, No. 8" ef_mev_per_atom=213 polymorph_energy_mev_per_atom=103 pbc="T T T"
W -2.567 -0.889 0.472
Ru -5.274 -1.801 0.782
Mo -10.552 -3.604 1.571
Mo -8.002 -2.724 1.131

No. 14
5
Lattice="5.037 0.000 0.000 0.000 5.037 0.000 0.000 0.000 5.098" Properties=species:S:1:pos:R:3 comment="LaTaSe2Br | Alexandria via LeMat-Bulk | PBE | relaxed" space_group="P4/mmm, No. 123" formation_energy_uncorrected_mev_per_atom=-684 polymorph_energy_mev_per_atom=0 pbc="T T T"
Se 2.519 0.000 0.000
Se 0.000 2.519 0.000
La 2.519 2.519 2.549
Ta 0.000 0.000 0.000
Br 0.000 0.000 2.549

No. 15
5
Lattice="4.248 0.000 0.000 0.000 4.248 0.000 0.000 0.000 4.248" Properties=species:S:1:pos:R:3 comment="Li3OsRu | Alexandria via LeMat-Bulk | PBE | relaxed" space_group="Pm-3m, No. 221" ef_mev_per_atom=1571 polymorph_energy_mev_per_atom=0 pbc="T T T"
Os 2.124 2.124 2.124
Li 0.000 0.000 2.124
Li 2.124 0.000 0.000
Li 0.000 2.124 0.000
Ru 0.000 0.000 0.000

No. 16
4
Lattice="2.836 0.000 0.000 0.000 2.836 0.000 0.000 0.000 8.769" Properties=species:S:1:pos:R:3 comment="MnPSe2 | Alexandria via LeMat-Bulk | PBE | relaxed" space_group="P4/mmm, No. 123" formation_energy_uncorrected_mev_per_atom=382 pbc="T T T"
P 1.418 1.418 4.385
Se 0.000 0.000 1.538
Se 0.000 0.000 7.231
Mn 1.418 1.418 0.000

No. 17
8
Lattice="7.223 0.000 0.000 0.000 7.223 0.000 3.611 3.611 2.671" Properties=species:S:1:pos:R:3 comment="Nb2CuIr | Alexandria via LeMat-Bulk | PBE | relaxed" space_group="I-42d, No. 122" ef_mev_per_atom=271 pbc="T T T"
Ir 7.223 3.611 1.335
Ir 0.000 0.000 0.000
Nb 1.663 5.417 0.668
Nb 5.417 5.275 2.003
Nb 9.029 9.171 2.003
Nb 5.560 1.806 0.668
Cu 3.611 7.223 1.335
Cu 3.611 3.611 0.000

No. 18
13
Lattice="4.540 0.000 1.851 2.270 6.209 0.925 -0.001 0.000 6.496" Properties=species:S:1:pos:R:3 comment="PrZn2Cu10 | Alexandria via LeMat-Bulk | PBE | relaxed" space_group="Fmmm, No. 69" ef_mev_per_atom=-87 pbc="T T T"
Cu 2.269 0.000 4.174
Cu 1.751 1.398 2.199
Cu 5.987 4.025 4.795
Cu -0.001 0.000 3.248
Cu 3.717 2.184 3.869
Cu 0.821 2.184 4.478
Cu 4.021 4.811 3.124
Cu 5.057 4.811 7.074
Cu 2.788 1.398 6.149
Cu 3.091 4.025 5.403
Pr 0.000 0.000 0.000
Zn 3.405 3.104 1.388
Zn 1.135 3.104 0.463

No. 19
5
Lattice="4.351 0.000 0.000 0.000 4.351 0.000 2.175 2.175 4.647" Properties=species:S:1:pos:R:3 comment="Nb2P2Au | Alexandria via LeMat-Bulk | PBE | relaxed" space_group="I4/mmm, No. 139" ef_mev_per_atom=-432 polymorph_energy_mev_per_atom=34 pbc="T T T"
P 4.351 4.351 3.549
P 2.175 2.175 1.098
Nb 2.175 4.351 2.323
Nb 4.351 2.175 2.323
Au 0.000 0.000 0.000

No. 20
19
Lattice="6.747 -0.087 -0.104 -1.108 6.656 -0.104 -1.108 -1.291 6.530" Properties=species:S:1:pos:R:3 comment="Bi6SeO12 | Alexandria via LeMat-Bulk | PBE | relaxed" space_group="R-3, No. 148" formation_energy_uncorrected_mev_per_atom=-1070 pbc="T T T"
O 5.411 -0.879 4.636
O -0.881 6.157 1.686
O 6.220 1.648 0.363
O -1.689 3.630 5.960
O 1.375 4.659 3.541
O 0.686 -0.786 6.359
O 2.118 3.517 1.106
O 3.844 6.064 -0.037
O 2.412 1.761 5.216
O 0.134 2.163 3.658
O 4.396 3.115 2.665
O 3.155 0.619 2.782
Se 0.000 0.000 0.000
Bi 3.337 5.088 2.510
Bi 4.523 1.743 4.453
Bi 1.193 0.190 3.812
Bi 3.493 1.743 0.868
Bi 0.007 3.535 1.870
Bi 1.037 3.535 5.455

These records have size of the total moment values of 0.0; 0.0; 1.3; 2.0; 0.2; 2.8; 0.0; 0.0; 1.3; 0.0; 0.0; 0.0; 0.0; 0.0; 2.6; 0.7; 0.0; 0.0; 0.0; 0.0 μB/f.u., in the order they appear.